Record 1
# AgSbPt2 GGA-PBE relaxed
data_AgSbPt2
_chemical_formula_sum 'Ag1 Sb1 Pt2'
_cell_length_a 3.535
_cell_length_b 3.531
_cell_length_c 5.765
_cell_angle_alpha 90.00
_cell_angle_beta 90.00
_cell_angle_gamma 90.00
_space_group_name_H-M_alt 'P 1'
_space_group_IT_number 1
loop_
_space_group_symop_operation_xyz
'x,y,z'
loop_
_atom_site_label
_atom_site_fract_x
_atom_site_fract_y
_atom_site_fract_z
Sb1 0.500 0.500 0.250
Ag1 0.500 0.500 0.750
Pt1 0.000 0.000 0.998
Pt2 0.000 0.000 0.502
# E_form (uncorrected): -0.5 eV/f.u.

Record 2
# Nb2O5 GGA-PBE relaxed
data_Nb2O5
_chemical_formula_sum 'Nb2 O5'
_cell_length_a 4.101
_cell_length_b 4.101
_cell_length_c 5.859
_cell_angle_alpha 68.02
_cell_angle_beta 68.02
_cell_angle_gamma 80.42
_space_group_name_H-M_alt 'P 1'
_space_group_IT_number 1
loop_
_space_group_symop_operation_xyz
'x,y,z'
loop_
_atom_site_label
_atom_site_fract_x
_atom_site_fract_y
_atom_site_fract_z
Nb1 0.848 0.773 0.297
Nb2 0.227 0.152 0.703
O1 0.286 0.714 0.500
O2 0.637 0.204 0.357
O3 0.235 0.117 0.034
O4 0.883 0.765 0.966
O5 0.796 0.363 0.643
# E_form (uncorrected): -15.4 eV/f.u.
# Energy relative to the lowest polymorph listed for this composition: 342 meV per atom

D(E_F) across the listed records, respectively: 1.1; 0.0 states/eV per cell.